Material: Cs3Na2Bi4
Method: DFT, PBE
State: relaxed

Summary:
total magnetic moment	0.000	μB per atom
ΔE_f	-2.962	eV per formula unit

The structure in extended XYZ format:
```
9
Lattice="7.100 -2.852 0.000 7.100 2.852 0.000 -2.381 0.000 10.675" Properties=species:S:1:pos:R:3 pbc="T T T"
Cs 0.000 0.000 0.000
Cs 4.058 0.000 6.561
Cs 7.761 0.000 4.115
Na 3.874 0.000 2.485
Na 7.945 0.000 8.191
Bi -0.012 0.000 7.285
Bi 1.626 0.000 9.927
Bi 10.192 0.000 0.748
Bi 11.830 0.000 3.390
```

Material: KZnIO2
Method: DFT, PBE
State: relaxed

Summary:
E_form (uncorrected)	-1.8	eV/f.u.
total magnetic moment	0.400	μB per atom

The structure in extended XYZ format:
```
5
Lattice="4.374 0.000 0.000 0.000 4.374 0.000 0.000 0.000 5.650" Properties=species:S:1:pos:R:3 pbc="T T T"
K 0.000 0.000 0.000
Zn 2.187 2.187 2.825
I 2.187 2.187 0.000
O 0.000 2.187 2.825
O 2.187 0.000 2.825
```

Material: Tm4Pt3
Method: DFT, PBE
State: relaxed

Summary:
total magnetic moment	0.000	μB per atom
ΔE_f	-8.249	eV per formula unit

The structure in extended XYZ format:
```
14
Lattice="5.976 3.450 2.552 -5.976 3.450 2.552 0.000 -6.901 2.552" Properties=species:S:1:pos:R:3 pbc="T T T"
Tm 0.000 0.000 0.000
Tm -3.117 0.901 2.809
Tm 0.778 -3.150 2.809
Tm -2.339 -2.248 4.849
Tm 0.000 0.000 3.829
Tm 2.339 2.248 2.809
Tm -0.778 3.150 4.849
Tm 3.117 -0.901 4.849
Pt -1.503 -1.763 1.983
Pt -0.775 2.183 1.983
Pt 2.279 -0.420 1.983
Pt -2.279 0.420 5.675
Pt 0.775 -2.183 5.675
Pt 1.503 1.763 5.675
```

Material: Tb4Er3Sb4
Method: DFT, PBE
State: relaxed

Summary:
E_form (uncorrected)	-8.2	eV/f.u.
total magnetic moment	0.000	μB per atom

The structure in extended XYZ format:
```
11
Lattice="-2.001 4.550 8.688 2.001 -4.550 8.688 2.001 4.550 -8.688" Properties=species:S:1:pos:R:3 pbc="T T T"
Tb 2.001 -2.907 5.766
Tb 0.000 1.642 2.922
Tb 2.001 2.907 5.766
Tb 0.000 7.457 2.922
Er 2.001 0.000 0.000
Er 0.000 0.000 6.981
Er 0.000 0.000 10.395
Sb 2.001 0.000 4.663
Sb 0.000 2.664 0.000
Sb 0.000 6.435 0.000
Sb 0.000 4.550 4.025
```

Material: Ca2CdSbS
Method: DFT, PBE
State: relaxed

Summary:
E_form (uncorrected)	-0.4	eV/f.u.
total magnetic moment	0.000	μB per atom

The structure in extended XYZ format:
```
5
Lattice="6.040 0.000 0.000 0.000 6.040 0.000 0.000 0.000 4.607" Properties=species:S:1:pos:R:3 pbc="T T T"
Ca 0.000 3.020 0.000
Ca 3.020 0.000 0.000
Cd 0.000 0.000 0.000
Sb 3.020 3.020 2.304
S 0.000 0.000 2.304
```

Material: CeAg2Au6
Method: DFT, PBE
State: relaxed

Summary:
total magnetic moment	0.087	μB per atom
ΔE_f	-1.783	eV per formula unit

The structure in extended XYZ format:
```
18
Lattice="6.917 -5.149 0.000 6.917 5.149 0.000 -0.862 0.000 5.030" Properties=species:S:1:pos:R:3 pbc="T T T"
Ce 6.271 3.766 3.772
Ce 6.702 -3.766 1.257
Ag 3.905 1.344 4.556
Ag 4.336 -1.344 2.041
Ag 8.636 1.344 2.988
Ag 9.067 -1.344 0.473
Au 1.029 1.233 4.042
Au 2.926 1.297 1.789
Au 1.460 -1.233 1.527
Au 5.752 1.203 2.307
Au 2.495 -1.297 4.304
Au 7.651 1.203 0.208
Au 5.321 -1.203 4.822
Au 10.477 1.297 0.726
Au 7.220 -1.203 2.723
Au 11.512 1.233 3.502
Au 10.046 -1.297 3.241
Au 11.943 -1.233 0.987
```